Entry from Alexandria via LeMat-Bulk: a geometry-optimized LiCrCu2F8 structure (PBE+U).

Values from the calculation:
density of states at the Fermi level: 19.74 states/eV/cell
total energy: -6.83 eV/atom

a = 6.4866 Å, b = 6.4866 Å, c = 6.9052 Å
α = 90.00°, β = 90.00°, γ = 90.00°
With the nearest neighbours (Å) after each atom.
Space group I-4m2 (No. 119)
Inequivalent atoms, fractional coordinates:
Li1 0.0000 0.0000 0.0000 [2 per cell]  4 F 2.03
Cr1 0.0000 0.5000 0.2500 [2 per cell]  4 F 1.92
Cu1 0.0000 0.0000 0.5000 [2 per cell]  4 F 1.90
Cu2 0.0000 0.5000 0.7500 [2 per cell]  4 F 1.92
F1 0.0000 0.2101 0.3090 [8 per cell]  1 Cu 1.90, 1 Cr 1.92
F2 0.0000 0.3113 0.9647 [8 per cell]  1 Cu 1.92, 1 Li 2.03